Computed, not measured: a relaxed structure of Na2Re2Hg at the PBE level of DFT.

Cell: 9.3947 9.3947 2.6111 Å, 90.00 90.00 90.00°
Closest atoms and distances in Å follow each position.
Atoms (fractional coordinates):
Na: 0.8021 0.6979 0.0000  2 Na 2.61
Na: 0.3021 0.8021 0.0000  2 Na 2.61
Na: 0.1979 0.3021 0.0000  2 Na 2.61
Na: 0.6979 0.1979 0.0000  2 Na 2.61
Re: 0.4136 0.0864 0.5000  1 Re 2.30
Re: 0.0864 0.5864 0.5000  1 Re 2.30
Re: 0.9136 0.4136 0.5000  1 Re 2.30
Re: 0.5864 0.9136 0.5000  1 Re 2.30
Hg: 0.5000 0.5000 0.0000  2 Hg 2.61
Hg: 0.0000 0.0000 0.0000  2 Hg 2.61

* E above lowest polymorph: 1.75 eV/f.u.
* total DFT energy (no corrections): -4.602 eV per atom
* Fermi-level density of states: 4.77 states/eV/f.u.
* formation enthalpy at 0 K: 965 meV/atom